The following is a DFT calculation (PBE) of a geometry-optimized Ce3SmDy2Sb6 structure.

It has space group C2/m (No. 12), with a = 7.721 Å, b = 13.372 Å, c = 7.719 Å, α = 90.00°, β = 109.49° and γ = 90.00°. The inequivalent atoms are Ce at (0.000, 0.000, 0.000), Ce at (0.000, 0.335, 0.000), Sm at (0.000, 0.500, 0.500), Dy at (0.000, 0.167, 0.500), Sb at (0.245, 0.000, 0.745) and Sb at (0.250, 0.168, 0.254).

The value obtained for the total DFT energy (no corrections) is -139.24 eV/cell. The raw formation energy is -1.097 eV/atom.

---

The following is a DFT calculation (PBE) of a geometry-optimized LuPu2Nb structure.

It has space group R-3m (No. 166, hexagonal axes), with a = 3.2646 Å, b = 3.2646 Å, c = 31.7693 Å, α = 90.00°, β = 90.00° and γ = 120.00°. The inequivalent atoms are Lu at (0.0000, 0.0000, 0.0000), Pu at (0.0000, 0.0000, 0.2433) and Nb at (0.0000, 0.0000, 0.5000).

The value obtained for the total DFT energy (no corrections) is -126.32 eV/cell. The calculation puts the relative energy among the computed polymorphs at 0.0 meV/atom. The value obtained for the formation energy is 0.29 eV per atom.

---

The following is a DFT calculation (PBE) of a geometry-optimized MnNbCo4 structure.

It has space group F-43m (No. 216), with a = 6.673 Å, b = 6.673 Å, c = 6.673 Å, α = 90.00°, β = 90.00° and γ = 90.00°. The inequivalent atoms are Mn at (0.000, 0.000, 0.000), Nb at (0.250, 0.250, 0.250) and Co at (0.126, 0.126, 0.626).

The value obtained for the total DFT energy (no corrections) is -193.50 eV/cell. The value obtained for the formation energy is -0.12 eV per atom.

---

The following is a DFT calculation (PBE) of a geometry-optimized CoCuSb2 structure.

It has space group I-42d (No. 122), with a = 5.879 Å, b = 5.879 Å, c = 11.152 Å, α = 90.00°, β = 90.00° and γ = 90.00°. The inequivalent atoms are Co at (0.000, 0.000, 0.000), Cu at (0.000, 0.000, 0.500) and Sb at (0.227, 0.250, 0.125).

The value obtained for the total DFT energy (no corrections) is -72.39 eV/cell. The raw formation energy is 0.337 eV/atom.

---

Copy entry 3 word for word.
The following is a DFT calculation (PBE) of a geometry-optimized MnNbCo4 structure.

It has space group F-43m (No. 216), with a = 6.673 Å, b = 6.673 Å, c = 6.673 Å, α = 90.00°, β = 90.00° and γ = 90.00°. The inequivalent atoms are Mn at (0.000, 0.000, 0.000), Nb at (0.250, 0.250, 0.250) and Co at (0.126, 0.126, 0.626).

The value obtained for the total DFT energy (no corrections) is -193.50 eV/cell. The value obtained for the formation energy is -0.12 eV per atom.